(1)
A plane-wave DFT calculation with PBE was carried out for ZrTl4S4 after structural relaxation.

```
ZrTl4S4
1.0
9.250 0.000 0.000
0.003 9.255 0.000
3.843 4.049 14.790
Zr Tl S
5 20 20
direct
0.000 0.000 0.000 Zr
0.182 0.015 0.401 Zr
0.190 0.826 0.199 Zr
0.810 0.174 0.801 Zr
0.818 0.985 0.599 Zr
0.029 0.589 0.599 Tl
0.044 0.781 0.796 Tl
0.198 0.385 0.809 Tl
0.214 0.610 0.003 Tl
0.216 0.212 0.599 Tl
0.393 0.419 0.202 Tl
0.395 0.219 0.008 Tl
0.400 0.626 0.388 Tl
0.414 0.785 0.596 Tl
0.423 0.958 0.800 Tl
0.577 0.042 0.200 Tl
0.586 0.215 0.404 Tl
0.600 0.374 0.612 Tl
0.605 0.781 0.992 Tl
0.607 0.581 0.798 Tl
0.784 0.788 0.401 Tl
0.786 0.390 0.997 Tl
0.802 0.615 0.191 Tl
0.956 0.219 0.204 Tl
0.971 0.411 0.401 Tl
0.072 0.269 0.003 S
0.079 0.087 0.823 S
0.103 0.928 0.577 S
0.113 0.751 0.376 S
0.116 0.560 0.199 S
0.239 0.092 0.224 S
0.255 0.283 0.396 S
0.264 0.925 0.021 S
0.446 0.937 0.403 S
0.458 0.758 0.193 S
0.542 0.242 0.807 S
0.554 0.063 0.597 S
0.736 0.075 0.979 S
0.745 0.717 0.604 S
0.761 0.908 0.776 S
0.884 0.440 0.801 S
0.887 0.249 0.624 S
0.897 0.072 0.423 S
0.921 0.913 0.177 S
0.928 0.731 0.997 S
```

Summary:
As for the crystal system: triclinic. The value obtained for the raw total energy is -4.622 eV/atom. As for the space group: P-1, No. 2.

(2)
A plane-wave DFT calculation with PBE was carried out for Zr2Tl2S5 after structural relaxation.

```
Zr2Tl2S5
1.0
5.591 -3.754 0.000
5.591 3.754 0.000
-3.800 0.000 11.614
Zr Tl S
4 4 10
direct
0.074 0.745 0.560 Zr
0.255 0.926 0.940 Zr
0.745 0.074 0.060 Zr
0.926 0.255 0.440 Zr
0.131 0.468 0.187 Tl
0.468 0.131 0.687 Tl
0.532 0.869 0.313 Tl
0.869 0.532 0.813 Tl
0.123 0.851 0.389 S
0.149 0.877 0.111 S
0.250 0.347 0.457 S
0.321 0.679 0.750 S
0.347 0.250 0.957 S
0.653 0.750 0.043 S
0.679 0.321 0.250 S
0.750 0.653 0.543 S
0.851 0.123 0.889 S
0.877 0.149 0.611 S
```

Summary:
As for the crystal system: monoclinic. The value obtained for the raw total energy is -5.832 eV/atom. As for the space group: C2/c, No. 15.

(3)
A plane-wave DFT calculation with PBE was carried out for Tm8S11 after structural relaxation.

```
Tm8S11
1.0
1.873 -6.330 0.000
1.873 6.330 0.000
0.000 0.000 35.033
Tm S
16 22
direct
0.000 0.000 0.000 Tm
0.000 0.000 0.500 Tm
0.018 0.982 0.633 Tm
0.018 0.982 0.867 Tm
0.242 0.758 0.183 Tm
0.242 0.758 0.317 Tm
0.257 0.743 0.558 Tm
0.257 0.743 0.942 Tm
0.491 0.509 0.250 Tm
0.509 0.491 0.750 Tm
0.743 0.257 0.058 Tm
0.743 0.257 0.442 Tm
0.758 0.242 0.683 Tm
0.758 0.242 0.817 Tm
0.982 0.018 0.133 Tm
0.982 0.018 0.367 Tm
0.090 0.910 0.068 S
0.090 0.910 0.432 S
0.113 0.887 0.703 S
0.113 0.887 0.797 S
0.144 0.856 0.250 S
0.336 0.664 0.112 S
0.336 0.664 0.388 S
0.353 0.647 0.016 S
0.353 0.647 0.484 S
0.396 0.604 0.663 S
0.396 0.604 0.837 S
0.604 0.396 0.163 S
0.604 0.396 0.337 S
0.647 0.353 0.516 S
0.647 0.353 0.984 S
0.664 0.336 0.612 S
0.664 0.336 0.888 S
0.856 0.144 0.750 S
0.887 0.113 0.203 S
0.887 0.113 0.297 S
0.910 0.090 0.568 S
0.910 0.090 0.932 S
```

Summary:
As for the crystal system: orthorhombic. The value obtained for the raw total energy is -6.321 eV/atom. As for the space group: Cmcm, No. 63.